Below is a relaxed BaScIn crystal, with properties calculated at the PBE level.

Cell: 7.145 7.145 7.145 Å, 148.16 148.14 45.66°
Positions (direct):
Sc 0.291 0.291 0.000
Ba 0.009 0.009 0.000
In 0.701 0.701 0.000

As for the total magnetic moment: 0.00 μB/cell. The energy above the lowest structure with this stoichiometry is 0.184 eV/atom. The symmetry is I4mm. For the density of states at the Fermi level, the calculation gives 1.216 states/eV per atom. The calculated formation energy comes out at -0.37 eV/f.u.